1.
The following is a DFT calculation (PBE) of a relaxed Fe2Te crystal.

Output
raw formation energy = 0.3732 eV per atom
volume = 44.6 Å³/f.u.

Lattice parameters (Å, degrees): 6.3325 6.3325 3.8530 90.00 90.00 120.00
Closest atoms and distances in Å follow each position.
Element x y z (fractional)
Fe 0.0000 0.2524 0.0000  4 Te 2.41-2.50
Fe 0.0000 0.5936 0.5000  5 Te 2.57-2.72
Fe 0.2524 0.0000 0.0000  4 Te 2.41-2.50
Fe 0.4064 0.4064 0.5000  5 Te 2.57-2.72
Fe 0.5936 0.0000 0.5000  5 Te 2.57-2.72
Fe 0.7476 0.7476 0.0000  4 Te 2.41-2.50
Te 0.0000 0.0000 0.5000  9 Fe 2.50-2.57
Te 0.3333 0.6667 0.0000  3 Fe 2.41
Te 0.6667 0.3333 0.0000  3 Fe 2.41

2.
The following is a DFT calculation (PBE) of a relaxed K2CoRh crystal.

Output
formation energy from the elements = 31.37 kcal/mol of atoms
energy relative to the lowest polymorph listed for this composition = 3.64 eV per formula unit
volume = 105.6 Å³/f.u.

Lattice parameters (Å, degrees): 5.3059 5.3059 5.3059 60.00 60.00 60.00
Closest atoms and distances in Å follow each position.
Element x y z (fractional)
K 0.2500 0.2500 0.2500  4 Co 3.25, 4 Rh 3.25
K 0.7500 0.7500 0.7500  4 Co 3.25, 4 Rh 3.25
Co 0.0000 0.0000 0.0000  8 K 3.25
Rh 0.5000 0.5000 0.5000  8 K 3.25

3.
The following is a DFT calculation (PBE) of a relaxed Sc5Cu6 crystal.

Output
formation energy from the elements = -2.15 kcal/mol of atoms
volume = 201.8 Å³/f.u.

Lattice parameters (Å, degrees): 7.8696 7.8696 7.8696 147.13 129.62 61.47
Closest atoms and distances in Å follow each position.
Element x y z (fractional)
Sc 0.0000 0.0000 0.0000  8 Cu 2.67-2.86
Sc 0.1722 0.6722 0.5000  8 Cu 2.71-2.76
Sc 0.3514 0.3514 0.0000  8 Cu 2.75-2.89
Sc 0.6486 0.6486 0.0000  8 Cu 2.75-2.89
Sc 0.8278 0.3278 0.5000  8 Cu 2.71-2.76
Cu 0.0537 0.8224 0.2312  7 Sc 2.71-2.89, 2 Cu 2.98
Cu 0.2204 0.5000 0.7204  6 Sc 2.67-2.76, 1 Cu 2.95
Cu 0.4088 0.1776 0.2312  7 Sc 2.71-2.89, 2 Cu 2.98
Cu 0.5912 0.8224 0.7688  7 Sc 2.71-2.89, 2 Cu 2.98
Cu 0.7796 0.5000 0.2796  6 Sc 2.67-2.76, 1 Cu 2.95
Cu 0.9463 0.1776 0.7688  7 Sc 2.71-2.89, 2 Cu 2.98

4.
The following is a DFT calculation (PBE) of a relaxed AsS2IO crystal.

Output
raw formation energy = 1.6964 eV per atom
volume = 139.9 Å³/f.u.

Lattice parameters (Å, degrees): 4.9552 4.9552 5.6965 90.00 90.00 90.00
Closest atoms and distances in Å follow each position.
Element x y z (fractional)
As 0.0000 0.0000 0.0000  2 I 2.85
S 0.0000 0.5000 0.5000  2 I 2.48
S 0.5000 0.0000 0.5000  2 I 2.48
I 0.0000 0.0000 0.5000  4 S 2.48
O 0.5000 0.5000 0.0000  4 As 3.50, 8 S 3.78

5.
The following is a DFT calculation (PBE) of a relaxed La2RePb crystal.

Output
formation energy from the elements = 2.88 kcal/mol of atoms
volume = 114.7 Å³/f.u.

Lattice parameters (Å, degrees): 4.0505 4.8541 6.1148 90.00 107.49 90.00
Closest atoms and distances in Å follow each position.
Element x y z (fractional)
La 0.0000 0.0000 0.0000  3 Re 3.14-3.43, 4 Pb 3.26-3.27
La 0.2618 0.5000 0.5698  3 Pb 3.21-3.34, 4 Re 3.29-3.30
Re 0.6889 0.0000 0.4127  2 Pb 2.90, 2 La 3.14-3.15
Pb 0.5659 0.5000 0.1419  2 Re 2.90, 2 La 3.21-3.22

6.
The following is a DFT calculation (PBE) of a relaxed ZrBOs2Pt crystal.

Output
formation energy from the elements = -7.81 kcal/mol of atoms
volume = 73.3 Å³/f.u.

Lattice parameters (Å, degrees): 4.2023 4.2023 4.1519 90.00 90.00 90.00
Closest atoms and distances in Å follow each position.
Element x y z (fractional)
Zr 0.0000 0.0000 0.0000  8 Os 2.95, 4 Pt 2.97
B 0.5000 0.5000 0.5000  2 Pt 2.08, 4 Os 2.10
Os 0.0000 0.5000 0.5000  2 B 2.10
Os 0.5000 0.0000 0.5000  2 B 2.10
Pt 0.5000 0.5000 0.0000  2 B 2.08

7.
The following is a DFT calculation (PBE) of a relaxed AlAg2N crystal.

Output
raw formation energy = 0.8208 eV per atom
energy relative to the lowest polymorph listed for this composition = 0.00 eV per formula unit
volume = 57.6 Å³/f.u.

Lattice parameters (Å, degrees): 4.3354 4.3354 4.3354 60.00 60.00 60.00
Closest atoms and distances in Å follow each position.
Element x y z (fractional)
Al 0.0000 0.0000 0.0000  8 Ag 2.65
Ag 0.2500 0.2500 0.2500  4 N 2.65, 4 Al 2.65
Ag 0.7500 0.7500 0.7500  4 N 2.65, 4 Al 2.65
N 0.5000 0.5000 0.5000  8 Ag 2.65

8.
The following is a DFT calculation (PBE) of a relaxed Mn2CrNi crystal.

Output
formation energy from the elements = 2.43 kcal/mol of atoms
volume = 45.5 Å³/f.u.

Lattice parameters (Å, degrees): 2.4652 2.4652 7.9476 90.00 90.00 109.65
Closest atoms and distances in Å follow each position.
Element x y z (fractional)
Mn 0.0000 0.0000 0.2471  2 Cr 2.42, 2 Ni 2.46, 4 Mn 2.47
Mn 0.0000 0.0000 0.7529  2 Cr 2.42, 2 Ni 2.46, 4 Mn 2.47
Cr 0.5000 0.5000 0.0000  4 Mn 2.42, 4 Cr 2.47
Ni 0.5000 0.5000 0.5000  4 Mn 2.46, 4 Ni 2.47

9.
The following is a DFT calculation (PBE) of a relaxed MnAlRhAu crystal.

Output
formation energy from the elements = -9.10 kcal/mol of atoms
volume = 60.1 Å³/f.u.

Lattice parameters (Å, degrees): 4.3968 4.3968 4.3968 60.00 60.00 60.00
Closest atoms and distances in Å follow each position.
Element x y z (fractional)
Mn 0.0000 0.0000 0.0000  4 Rh 2.69, 4 Au 2.69
Al 0.5000 0.5000 0.5000  4 Rh 2.69, 4 Au 2.69
Rh 0.7500 0.7500 0.7500  4 Mn 2.69, 4 Al 2.69
Au 0.2500 0.2500 0.2500  4 Mn 2.69, 4 Al 2.69

10.
The following is a DFT calculation (PBE) of a relaxed GaCu5 crystal.

Output
formation energy from the elements = -1.55 kcal/mol of atoms
volume = 74.5 Å³/f.u.

Lattice parameters (Å, degrees): 5.8225 5.8225 3.6787 90.00 90.00 143.29
Closest atoms and distances in Å follow each position.
Element x y z (fractional)
Ga 0.0000 0.0000 0.0000  12 Cu 2.60-2.63
Cu 0.1695 0.8305 0.5000  10 Cu 2.56-2.62, 2 Ga 2.63
Cu 0.3329 0.6671 0.0000  10 Cu 2.58-2.61, 2 Ga 2.60
Cu 0.5000 0.5000 0.5000  4 Ga 2.60, 8 Cu 2.61-2.62
Cu 0.6671 0.3329 0.0000  10 Cu 2.58-2.61, 2 Ga 2.60
Cu 0.8305 0.1695 0.5000  10 Cu 2.56-2.62, 2 Ga 2.63

11.
The following is a DFT calculation (PBE) of a relaxed ThNpTe2 crystal.

Output
raw formation energy = -0.7502 eV per atom
energy relative to the lowest polymorph listed for this composition = 0.18 eV per formula unit
volume = 111.2 Å³/f.u.

Lattice parameters (Å, degrees): 5.3977 5.3977 5.3977 60.00 60.00 60.00
Closest atoms and distances in Å follow each position.
Element x y z (fractional)
Th 0.0000 0.0000 0.0000  8 Te 3.31
Np 0.5000 0.5000 0.5000  8 Te 3.31
Te 0.2500 0.2500 0.2500  4 Th 3.31, 4 Np 3.31
Te 0.7500 0.7500 0.7500  4 Th 3.31, 4 Np 3.31

12.
The following is a DFT calculation (PBE) of a relaxed LiInP2O crystal.

Output
raw formation energy = 0.4245 eV per atom
energy relative to the lowest polymorph listed for this composition = 0.43 eV per formula unit
volume = 111.4 Å³/f.u.

Lattice parameters (Å, degrees): 5.1845 5.1845 4.1434 90.00 90.00 90.00
Closest atoms and distances in Å follow each position.
Element x y z (fractional)
Li 0.0000 0.0000 0.0000  8 P 3.32, 4 O 3.67
In 0.5000 0.5000 0.5000  2 O 2.07
P 0.0000 0.5000 0.5000  2 In 2.59
P 0.5000 0.0000 0.5000  2 In 2.59
O 0.5000 0.5000 0.0000  2 In 2.07

Q: Which of these has the highest volume?
A: Sc5Cu6

Q: Number 11 is which compound?
A: ThNpTe2